This record from Alexandria describes a geometry-optimized PuGaNi2 structure. The functional is PBE.

Values from the calculation:
**Total energy**: -7.584 eV/atom
**Fermi-level density of states**: 2.56 states/eV per atom
**DFT formation energy**: -0.354 eV/atom

a b c (Å): 5.000 3.997 6.535
angles (deg): 90.00 90.00 90.00
Space group Pmma (No. 51)
Inequivalent atoms, fractional coordinates:
Pu 0.250 0.000 0.195 [2 per cell]
Ga 0.250 0.500 0.837 [2 per cell]
Ni 0.000 0.500 0.500 [2 per cell]
Ni 0.250 0.000 0.620 [2 per cell]


This record from Alexandria describes a geometry-optimized MgCrIn2 structure. The functional is PBE.

Values from the calculation:
**Total energy**: -3.982 eV/atom
**Fermi-level density of states**: 0.52 states/eV per atom
**DFT formation energy**: 0.192 eV/atom

a b c (Å): 6.182 8.449 3.176
angles (deg): 90.00 90.00 90.00
Space group Cmmm (No. 65)
Inequivalent atoms, fractional coordinates:
Mg 0.000 0.000 0.000 [2 per cell]
Cr 0.000 0.500 0.000 [2 per cell]
In 0.250 0.250 0.500 [4 per cell]


This record from Alexandria describes a geometry-optimized Na2Ga4PtAu3 structure. The functional is PBE.

Values from the calculation:
**Total energy**: -3.421 eV/atom
**Fermi-level density of states**: 0.27 states/eV per atom
**DFT formation energy**: -0.359 eV/atom

a b c (Å): 4.292 4.292 11.109
angles (deg): 90.00 90.00 90.00
Space group P-4m2 (No. 115)
Inequivalent atoms, fractional coordinates:
Na 0.000 0.500 0.239 [2 per cell]
Ga 0.000 0.000 0.500 [1 per cell]
Ga 0.000 0.500 0.872 [2 per cell]
Ga 0.500 0.500 0.500 [1 per cell]
Pt 0.500 0.500 0.000 [1 per cell]
Au 0.000 0.000 0.000 [1 per cell]
Au 0.000 0.500 0.643 [2 per cell]


This record from Alexandria describes a geometry-optimized ReAuS2O structure. The functional is PBE.

Values from the calculation:
**Formation energy without anion corrections**: 4.71 eV per formula unit
**Total energy**: -4.847 eV/atom
**Fermi-level density of states**: 1.23 states/eV per atom

a b c (Å): 4.819 4.819 3.668
angles (deg): 90.00 90.00 90.00
Space group P4/mmm (No. 123)
Inequivalent atoms, fractional coordinates:
Re 0.000 0.000 0.000 [1 per cell]
Au 0.500 0.500 0.000 [1 per cell]
S 0.000 0.500 0.500 [2 per cell]
O 0.000 0.000 0.500 [1 per cell]


This record from Alexandria describes a geometry-optimized Nb2Tl2NiTe6 structure. The functional is PBE.

Values from the calculation:
**Formation energy without anion corrections**: -2.59 eV per formula unit
**Total energy**: -4.735 eV/atom
**Fermi-level density of states**: 0.67 states/eV per atom

a b c (Å): 6.601 12.199 8.683
angles (deg): 90.00 109.83 90.00
Space group C2/m (No. 12)
Inequivalent atoms, fractional coordinates:
Nb 0.000 0.194 0.000 [4 per cell]
Tl 0.000 0.345 0.500 [4 per cell]
Ni 0.000 0.500 0.000 [2 per cell]
Te 0.241 0.151 0.793 [8 per cell]
Te 0.244 0.000 0.167 [4 per cell]


This record from Alexandria describes a geometry-optimized KBa2CaZr structure. The functional is PBE.

Values from the calculation:
**Total energy**: -2.028 eV/atom
**Fermi-level density of states**: 1.50 states/eV per atom
**DFT formation energy**: 1.071 eV/atom

a b c (Å): 6.409 6.409 5.803
angles (deg): 90.00 90.00 90.00
Space group P4/mmm (No. 123)
Inequivalent atoms, fractional coordinates:
K 0.000 0.000 0.000 [1 per cell]
Ba 0.000 0.500 0.000 [2 per cell]
Ca 0.500 0.500 0.500 [1 per cell]
Zr 0.000 0.000 0.500 [1 per cell]


This record from Alexandria describes a geometry-optimized ScTl2Cu structure. The functional is PBE.

Values from the calculation:
**Total energy**: -3.738 eV/atom
**Fermi-level density of states**: 0.71 states/eV per atom
**Excess energy over the best structure of this formula in the dataset**: 73 meV per atom
**DFT formation energy**: 0.052 eV/atom

a b c (Å): 4.315 4.315 9.402
angles (deg): 90.00 90.00 90.00
Space group I-4m2 (No. 119)
Inequivalent atoms, fractional coordinates:
Sc 0.000 0.000 0.000 [2 per cell]
Tl 0.000 0.000 0.500 [2 per cell]
Tl 0.000 0.500 0.750 [2 per cell]
Cu 0.000 0.500 0.250 [2 per cell]


This record from Alexandria describes a geometry-optimized CdAuO2F structure. The functional is PBE.

Values from the calculation:
**Formation energy without anion corrections**: 0.30 eV per formula unit
**Total energy**: -3.136 eV/atom
**Fermi-level density of states**: 1.54 states/eV per atom

a b c (Å): 4.233 4.233 4.249
angles (deg): 90.00 90.00 90.00
Space group P4/mmm (No. 123)
Inequivalent atoms, fractional coordinates:
Cd 0.000 0.000 0.000 [1 per cell]
Au 0.500 0.500 0.500 [1 per cell]
O 0.000 0.500 0.000 [2 per cell]
F 0.000 0.000 0.500 [1 per cell]